[1]
! KS2I2 | Alexandria | meta-GGA SCAN | single point on PBEsol structure; values from VASP
&SYSTEM
  ibrav = 0, nat = 10, ntyp = 3
/
ATOMIC_SPECIES
K 39.10 K.upf
S 32.06 S.upf
I 126.90 I.upf
ATOMIC_POSITIONS crystal
K 0.0000 0.0000 0.0000
K 0.5000 0.5000 0.5000
S 0.0000 0.5000 0.2500
S 0.0000 0.5000 0.7500
S 0.5000 0.0000 0.2500
S 0.5000 0.0000 0.7500
I 0.0000 0.0000 0.2772
I 0.0000 0.0000 0.7228
I 0.5000 0.5000 0.2228
I 0.5000 0.5000 0.7772
CELL_PARAMETERS angstrom
5.6601 0.0000 0.0000
0.0000 5.6601 0.0000
0.0000 0.0000 11.6539
! space group: No. 139
! raw formation energy: -7 kJ per mole of atoms

---

[2]
! TcOs2Pt | Alexandria | meta-GGA SCAN | single point on PBEsol structure; values from VASP
&SYSTEM
  ibrav = 0, nat = 4, ntyp = 3
/
ATOMIC_SPECIES
Tc 98.00 Tc.upf
Os 190.23 Os.upf
Pt 195.08 Pt.upf
ATOMIC_POSITIONS crystal
Tc 0.0000 0.0000 0.0000
Os 0.0000 0.5000 0.5000
Os 0.5000 0.0000 0.5000
Pt 0.5000 0.5000 0.0000
CELL_PARAMETERS angstrom
3.8444 0.0000 0.0000
0.0000 3.8444 0.0000
0.0000 0.0000 3.8166
! energy relative to the elements: -2.0 meV/atom
! energy relative to the lowest polymorph listed for this composition: 0.0 meV/atom
! space group: No. 123

---

no.,calculated density (g/cm³),DOS(E_F) (states/eV/f.u.)
1,3.2,2.092
2,19.8,2.893